Er2AsPb | PBE | relaxed

Cell and atoms, written as extended XYZ:
```
4
Lattice="-1.504 3.393 1.332 -3.795 0.195 1.054 0.218 -0.882 8.328" Properties=species:S:1:pos:R:3 pbc="T T T"
Er -0.184 -0.461 6.801
Er -1.362 0.773 2.330
As -3.320 1.516 9.900
Pb -2.538 1.350 5.368
```

As for the energy above the most stable polymorph in this dataset: 46 meV/atom. The calculation puts the total energy at -5.287 eV per atom. The value obtained for the formation energy is -915.7 meV/atom.